## MnSbIr (PBE-GGA)

Data for a relaxed structure of MnSbIr.

abc: 4.460 4.460 3.041
angles: 90.00 90.00 120.00
Element x y z (fractional)
1 Sb 0.333 0.667 0.834
2 Mn 0.667 0.333 0.333
3 Ir 0.000 0.000 0.833

Summary:
- density of states at the Fermi level (states/eV/cell) = 1.9
- M_tot (μB/cell) = 3.67
- formation energy from raw total energies (meV/atom) = 82
- energy (eV/atom) = -7.3028